Record 1
12
Lattice="-0.467 -3.455 0.631 6.212 -0.501 1.857 -2.972 2.332 10.574" Properties=species:S:1:pos:R:3 comment="PBE Nd3SnO2, optimized geometry" volume_a3_per_atom=21.56 space_group="Pmc2_1 (26)" e_above_lowest_polymorph_ev_per_atom=0.182 magmom_total_mub_per_cell=0.0 final_energy_ry_per_atom=-0.48916 pbc="T T T"
Nd 0.121 -1.533 1.643
Nd 0.463 0.800 4.725
Nd 3.559 -1.337 5.268
Nd 0.888 0.051 10.892
O -0.674 0.581 2.683
O 0.955 1.489 8.864
O -1.617 -0.564 5.667
Sn 2.866 0.058 2.443
Sn -2.390 1.995 9.162
Nd 2.975 1.015 7.765
O 1.506 -0.828 6.533
Nd -0.539 -0.308 7.868

Record 2
6
Lattice="4.742 0.000 0.000 0.000 4.742 0.000 0.000 0.000 7.199" Properties=species:S:1:pos:R:3 comment="PBE AcHfPt, optimized geometry" volume_a3_per_atom=26.98 space_group="P4/nmm (129)" formation_energy_ev_per_atom=-0.8220 magmom_total_mub_per_cell=0.0 final_energy_ry_per_atom=-0.55292 pbc="T T T"
Pt 2.371 0.000 4.916
Hf 2.371 2.371 3.600
Pt 0.000 2.371 2.283
Ac 2.371 0.000 0.896
Hf 0.000 0.000 3.600
Ac 0.000 2.371 6.303

Record 3
18
Lattice="-1.579 2.148 -7.221 0.860 -6.794 -2.209 -11.249 -1.831 1.255" Properties=species:S:1:pos:R:3 comment="PBE MnAg2I6, optimized geometry" volume_a3_per_atom=35.23 space_group="P2_1/c (14)" magmom_total_mub_per_cell=5.9 final_energy_ry_per_atom=-0.21182 pbc="T T T"
I -8.070 -2.015 -0.140
I -8.929 -4.908 -3.295
I -3.040 -1.570 -4.880
Ag -3.244 -6.009 -5.678
I -10.924 -1.616 -3.936
I -5.049 -5.759 -3.423
I -6.919 -0.719 -4.752
Mn -5.625 -0.916 0.628
Ag -3.499 -1.561 -7.738
Ag -8.469 -4.916 -0.438
Ag -8.724 -0.468 -2.497
I -0.388 -1.799 -2.069
I -3.898 -4.463 -8.036
I -11.580 -4.679 -6.106
Mn -0.360 -2.323 -4.715
I -4.421 -2.473 -1.180
I -7.547 -4.005 -6.995
I -1.044 -4.861 -4.239

Record 4
13
Lattice="-4.234 -1.153 -6.234 6.535 -5.413 -3.467 0.142 -9.034 1.544" Properties=species:S:1:pos:R:3 comment="PBE In2Ge3I8, optimized geometry" volume_a3_per_atom=41.81 space_group="C2/m (12)" magmom_total_mub_per_cell=0.0 final_energy_ry_per_atom=-0.20423 pbc="T T T"
I 3.503 -8.953 -2.002
I -0.003 -1.766 -1.281
I 2.447 -13.834 -6.877
In -0.410 -4.390 -3.696
I 2.917 -5.087 -4.106
I -0.446 -6.992 -1.471
In 2.853 -11.210 -4.461
I 2.889 -8.608 -6.686
Ge -2.117 -0.576 -3.117
Ge 1.789 -8.102 0.254
I -0.473 -10.513 -4.051
I -1.059 -6.647 -6.155
Ge 4.889 -6.346 -2.176